[1]
A plane-wave DFT calculation with GGA-PBE was carried out for crystalline HgPt at its relaxed geometry.

Cell: 4.6976 4.6976 4.6976 Å, 60.00 60.00 60.00°
Atoms (fractional coordinates):
1 Hg 0.3751 0.3751 0.3751
2 Hg 0.6249 0.6249 0.6249
3 Pt 0.1251 0.1251 0.1251
4 Pt 0.8749 0.8749 0.8749

## Properties
ΔH_f (0 K)   0.154 eV per atom
D(E_F)   1.2 states/eV/cell
Symmetry   Fd-3m, No. 227


[2]
A plane-wave DFT calculation with GGA-PBE was carried out for crystalline HgPt at its relaxed geometry.

Cell: 4.5338 4.5338 9.0081 Å, 90.00 90.00 120.00°
Atoms (fractional coordinates):
1 Hg 0.3333 0.6667 0.0785
2 Hg 0.6667 0.3333 0.5785
3 Hg 0.6667 0.3333 0.9215
4 Hg 0.3333 0.6667 0.4215
5 Pt 0.0000 0.0000 0.2500
6 Pt 0.0000 0.0000 0.7500
7 Pt 0.3333 0.6667 0.7500
8 Pt 0.6667 0.3333 0.2500

## Properties
ΔH_f (0 K)   0.163 eV per atom
D(E_F)   6.6 states/eV/cell
Symmetry   P6_3/mmc, No. 194


[3]
A plane-wave DFT calculation with GGA-PBE was carried out for crystalline Hg5Pt4 at its relaxed geometry.

Cell: 8.3592 8.3592 5.7237 Å, 90.00 90.00 60.00°
Atoms (fractional coordinates):
1 Hg 0.2835 0.7165 0.2500
2 Hg 0.0000 0.2835 0.2500
3 Hg 0.7165 0.0000 0.2500
4 Hg 0.7165 0.2835 0.7500
5 Hg 0.0000 0.7165 0.7500
6 Hg 0.2835 0.0000 0.7500
7 Hg 0.3333 0.3333 0.0000
8 Hg 0.6667 0.6667 0.5000
9 Hg 0.6667 0.6667 0.0000
10 Hg 0.3333 0.3333 0.5000
11 Pt 0.0000 0.0000 0.0000
12 Pt 0.0000 0.0000 0.5000
13 Pt 0.6123 0.3877 0.2500
14 Pt 0.0000 0.6123 0.2500
15 Pt 0.3877 0.0000 0.2500
16 Pt 0.3877 0.6123 0.7500
17 Pt 0.0000 0.3877 0.7500
18 Pt 0.6123 0.0000 0.7500

## Properties
ΔH_f (0 K)   0.129 eV per atom
D(E_F)   7.5 states/eV/cell
Symmetry   P6_3/mcm, No. 193


[4]
A plane-wave DFT calculation with GGA-PBE was carried out for crystalline HgPt at its relaxed geometry.

Cell: 4.7061 4.7061 5.4580 Å, 90.00 90.00 120.00°
Atoms (fractional coordinates):
1 Hg 0.3333 0.6667 0.7500
2 Hg 0.6667 0.3333 0.2500
3 Pt 0.3333 0.6667 0.2500
4 Pt 0.6667 0.3333 0.7500

## Properties
ΔH_f (0 K)   0.526 eV per atom
D(E_F)   1.9 states/eV/cell
Symmetry   P6_3/mmc, No. 194


[5]
A plane-wave DFT calculation with GGA-PBE was carried out for crystalline HgPt2 at its relaxed geometry.

Cell: 9.2643 9.2643 9.2643 Å, 157.31 157.31 32.30°
Atoms (fractional coordinates):
1 Hg 0.7500 0.2500 0.5000
2 Hg 0.0000 0.0000 0.0000
3 Pt 0.4267 0.4267 0.0000
4 Pt 0.5733 0.5733 0.0000
5 Pt 0.1767 0.6767 0.5000
6 Pt 0.3233 0.8233 0.5000

## Properties
ΔH_f (0 K)   0.307 eV per atom
D(E_F)   6.6 states/eV/cell
Symmetry   I4_1/amd, No. 141


[6]
A plane-wave DFT calculation with GGA-PBE was carried out for crystalline HgPt2 at its relaxed geometry.

Cell: 3.7663 3.7663 4.3331 Å, 90.00 90.00 90.00°
Atoms (fractional coordinates):
1 Hg 0.0000 0.0000 0.0000
2 Pt 0.0000 0.5000 0.5000
3 Pt 0.5000 0.0000 0.5000

## Properties
ΔH_f (0 K)   0.183 eV per atom
D(E_F)   1.5 states/eV/cell
Symmetry   P4/mmm, No. 123


[7]
A plane-wave DFT calculation with GGA-PBE was carried out for crystalline HgPt at its relaxed geometry.

Cell: 5.4207 5.4207 5.5598 Å, 90.00 90.00 90.00°
Atoms (fractional coordinates):
1 Hg 0.1911 0.1911 0.0000
2 Hg 0.6911 0.3089 0.5000
3 Hg 0.3089 0.6911 0.5000
4 Hg 0.8089 0.8089 0.0000
5 Pt 0.3174 0.6826 0.0000
6 Pt 0.8174 0.8174 0.5000
7 Pt 0.1826 0.1826 0.5000
8 Pt 0.6826 0.3174 0.0000

## Properties
ΔH_f (0 K)   0.233 eV per atom
D(E_F)   4.2 states/eV/cell
Symmetry   P4_2/mnm, No. 136


[8]
A plane-wave DFT calculation with GGA-PBE was carried out for crystalline HgPt at its relaxed geometry.

Cell: 2.9153 12.5062 6.7673 Å, 90.00 90.00 90.00°
Atoms (fractional coordinates):
1 Hg 0.0000 0.2638 0.7964
2 Hg 0.0000 0.7362 0.7964
3 Hg 0.0000 0.7638 0.2964
4 Hg 0.0000 0.2362 0.2964
5 Hg 0.5000 0.0000 0.9468
6 Hg 0.5000 0.5000 0.4468
7 Pt 0.5000 0.8871 0.5811
8 Pt 0.5000 0.1129 0.5811
9 Pt 0.5000 0.3871 0.0811
10 Pt 0.5000 0.6129 0.0811
11 Pt 0.0000 0.0000 0.3001
12 Pt 0.0000 0.5000 0.8002

## Properties
ΔH_f (0 K)   0.026 eV per atom
D(E_F)   5.7 states/eV/cell
Symmetry   Amm2, No. 38


[9]
A plane-wave DFT calculation with GGA-PBE was carried out for crystalline Hg3Pt at its relaxed geometry.

Cell: 3.2394 3.2394 9.4462 Å, 90.00 90.00 120.00°
Atoms (fractional coordinates):
1 Hg 0.0000 0.0000 0.9773
2 Hg 0.0000 0.0000 0.5227
3 Hg 0.3333 0.6667 0.2500
4 Pt 0.3333 0.6667 0.7500

## Properties
ΔH_f (0 K)   0.165 eV per atom
D(E_F)   2.1 states/eV/cell
Polymorph energy (0 for the lowest one)   0.176 eV/atom
Symmetry   P-6m2, No. 187


[10]
A plane-wave DFT calculation with GGA-PBE was carried out for crystalline Hg4Pt5 at its relaxed geometry.

Cell: 8.1924 8.1924 5.6430 Å, 90.00 90.00 60.00°
Atoms (fractional coordinates):
1 Hg 0.0000 0.0000 0.0000
2 Hg 0.0000 0.0000 0.5000
3 Hg 0.6426 0.3574 0.2500
4 Hg 0.0000 0.6426 0.2500
5 Hg 0.3574 0.0000 0.2500
6 Hg 0.3574 0.6426 0.7500
7 Hg 0.0000 0.3574 0.7500
8 Hg 0.6426 0.0000 0.7500
9 Pt 0.3121 0.6879 0.2500
10 Pt 0.0000 0.3121 0.2500
11 Pt 0.6879 0.0000 0.2500
12 Pt 0.6879 0.3121 0.7500
13 Pt 0.0000 0.6879 0.7500
14 Pt 0.3121 0.0000 0.7500
15 Pt 0.3333 0.3333 0.0000
16 Pt 0.6667 0.6667 0.5000
17 Pt 0.6667 0.6667 0.0000
18 Pt 0.3333 0.3333 0.5000

## Properties
ΔH_f (0 K)   0.151 eV per atom
D(E_F)   7.4 states/eV/cell
Polymorph energy (0 for the lowest one)   0.079 eV/atom
Symmetry   P6_3/mcm, No. 193


[11]
A plane-wave DFT calculation with GGA-PBE was carried out for crystalline Hg3Pt at its relaxed geometry.

Cell: 5.3758 5.3758 3.0930 Å, 90.00 90.00 113.74°
Atoms (fractional coordinates):
1 Hg 0.0000 0.0000 0.0000
2 Hg 0.0000 0.5000 0.5000
3 Hg 0.5000 0.0000 0.5000
4 Pt 0.5000 0.5000 0.0000

## Properties
ΔH_f (0 K)   0.189 eV per atom
D(E_F)   1.8 states/eV/cell
Polymorph energy (0 for the lowest one)   0.200 eV/atom
Symmetry   Cmmm, No. 65


[12]
A plane-wave DFT calculation with GGA-PBE was carried out for crystalline Hg3Pt at its relaxed geometry.

Cell: 3.1703 7.5986 7.4033 Å, 90.00 90.00 90.00°
Atoms (fractional coordinates):
1 Hg 0.5000 0.0000 0.4960
2 Hg 0.0000 0.1894 0.8184
3 Hg 0.5000 0.3106 0.1816
4 Hg 0.0000 0.5000 0.5040
5 Hg 0.0000 0.8106 0.8184
6 Hg 0.5000 0.6894 0.1816
7 Pt 0.0000 0.0000 0.1712
8 Pt 0.5000 0.5000 0.8288

## Properties
ΔH_f (0 K)   0.092 eV per atom
D(E_F)   3.2 states/eV/cell
Polymorph energy (0 for the lowest one)   0.104 eV/atom
Symmetry   Pmmn, No. 59


[13]
A plane-wave DFT calculation with GGA-PBE was carried out for crystalline HgPt2 at its relaxed geometry.

Cell: 6.3932 6.3932 6.3932 Å, 90.00 90.00 90.00°
Atoms (fractional coordinates):
1 Hg 0.0000 0.0000 0.0000
2 Hg 0.0000 0.5000 0.5000
3 Hg 0.5000 0.0000 0.5000
4 Hg 0.5000 0.5000 0.0000
5 Pt 0.1153 0.6153 0.8847
6 Pt 0.1153 0.8847 0.3847
7 Pt 0.3847 0.1153 0.8847
8 Pt 0.3847 0.3847 0.3847
9 Pt 0.6153 0.6153 0.6153
10 Pt 0.6153 0.8847 0.1153
11 Pt 0.8847 0.1153 0.6153
12 Pt 0.8847 0.3847 0.1153

## Properties
ΔH_f (0 K)   0.736 eV per atom
D(E_F)   9.9 states/eV/cell
Symmetry   Pa-3, No. 205


[14]
A plane-wave DFT calculation with GGA-PBE was carried out for crystalline HgPt at its relaxed geometry.

Cell: 2.9121 2.9121 10.3632 Å, 90.00 90.00 120.00°
Atoms (fractional coordinates):
1 Hg 0.3333 0.6667 0.0530
2 Hg 0.6667 0.3333 0.5530
3 Pt 0.3333 0.6667 0.3180
4 Pt 0.6667 0.3333 0.8180

## Properties
ΔH_f (0 K)   0.205 eV per atom
D(E_F)   3.0 states/eV/cell
Symmetry   P6_3mc, No. 186


[15]
A plane-wave DFT calculation with GGA-PBE was carried out for crystalline Hg8Pt at its relaxed geometry.

Cell: 9.1031 9.1031 9.1031 Å, 91.42 91.42 161.86°
Atoms (fractional coordinates):
1 Hg 0.3319 0.0000 0.3319
2 Hg 0.6681 0.0000 0.6681
3 Hg 0.0000 0.6681 0.6681
4 Hg 0.3579 0.6421 0.0000
5 Hg 0.6421 0.6421 0.2842
6 Hg 0.0000 0.3319 0.3319
7 Hg 0.3579 0.3579 0.7158
8 Hg 0.6421 0.3579 0.0000
9 Pt 0.0000 0.0000 0.0000

## Properties
ΔH_f (0 K)   0.107 eV per atom
D(E_F)   2.9 states/eV/cell
Symmetry   I4/mmm, No. 139


[16]
A plane-wave DFT calculation with GGA-PBE was carried out for crystalline HgPt at its relaxed geometry.

Cell: 9.8543 9.8543 9.8543 Å, 17.39 17.39 17.39°
Atoms (fractional coordinates):
1 Hg 0.0061 0.0061 0.0061
2 Hg 0.2439 0.2439 0.2439
3 Pt 0.4965 0.4965 0.4965
4 Pt 0.7535 0.7535 0.7535

## Properties
ΔH_f (0 K)   0.160 eV per atom
D(E_F)   2.0 states/eV/cell
Symmetry   R-3m, No. 166


[17]
A plane-wave DFT calculation with GGA-PBE was carried out for crystalline Hg6Pt7 at its relaxed geometry.

Cell: 9.6587 9.6587 9.6587 Å, 33.72 33.72 33.72°
Atoms (fractional coordinates):
1 Hg 0.0517 0.0517 0.0517
2 Hg 0.9483 0.9483 0.9483
3 Hg 0.1578 0.1578 0.1578
4 Hg 0.8422 0.8422 0.8422
5 Hg 0.3337 0.3337 0.3337
6 Hg 0.6663 0.6663 0.6663
7 Pt 0.5889 0.0854 0.5889
8 Pt 0.5889 0.5889 0.0854
9 Pt 0.0854 0.5889 0.5889
10 Pt 0.4111 0.9146 0.4111
11 Pt 0.9146 0.4111 0.4111
12 Pt 0.4111 0.4111 0.9146
13 Pt 0.5000 0.5000 0.5000

## Properties
ΔH_f (0 K)   0.028 eV per atom
D(E_F)   5.4 states/eV/cell
Symmetry   R-3m, No. 166


[18]
A plane-wave DFT calculation with GGA-PBE was carried out for crystalline HgPt2 at its relaxed geometry.

Cell: 4.4622 2.8349 17.9931 Å, 90.00 90.00 90.00°
Atoms (fractional coordinates):
1 Hg 0.0000 0.2500 0.6311
2 Hg 0.0000 0.7500 0.3689
3 Hg 0.5000 0.2500 0.8689
4 Hg 0.5000 0.7500 0.1311
5 Pt 0.0000 0.2500 0.0616
6 Pt 0.0000 0.2500 0.2100
7 Pt 0.0000 0.7500 0.7900
8 Pt 0.0000 0.7500 0.9384
9 Pt 0.5000 0.2500 0.2900
10 Pt 0.5000 0.2500 0.4384
11 Pt 0.5000 0.7500 0.5616
12 Pt 0.5000 0.7500 0.7100

## Properties
ΔH_f (0 K)   0.140 eV per atom
D(E_F)   6.7 states/eV/cell
Symmetry   Imma, No. 74


[19]
A plane-wave DFT calculation with GGA-PBE was carried out for crystalline HgPt2 at its relaxed geometry.

Cell: 5.0002 5.0002 5.0002 Å, 139.36 139.36 58.83°
Atoms (fractional coordinates):
1 Hg 0.0000 0.0000 0.0000
2 Pt 0.3306 0.3306 0.0000
3 Pt 0.6694 0.6694 0.0000

## Properties
ΔH_f (0 K)   0.139 eV per atom
D(E_F)   3.7 states/eV/cell
Symmetry   I4/mmm, No. 139


[20]
A plane-wave DFT calculation with GGA-PBE was carried out for crystalline HgPt at its relaxed geometry.

Cell: 7.5478 7.5478 7.5478 Å, 90.00 90.00 90.00°
Atoms (fractional coordinates):
1 Hg 0.2500 0.0000 0.5000
2 Hg 0.7500 0.0000 0.5000
3 Hg 0.0000 0.5000 0.2500
4 Hg 0.0000 0.5000 0.7500
5 Hg 0.5000 0.2500 0.0000
6 Hg 0.5000 0.7500 0.0000
7 Pt 0.2500 0.5000 0.0000
8 Pt 0.7500 0.5000 0.0000
9 Pt 0.5000 0.0000 0.2500
10 Pt 0.5000 0.0000 0.7500
11 Pt 0.0000 0.2500 0.5000
12 Pt 0.0000 0.7500 0.5000

## Properties
ΔH_f (0 K)   0.750 eV per atom
D(E_F)   4.3 states/eV/cell
Symmetry   Pm-3n, No. 223